(1)
VASP calculation (PBE+U) on an optimized crystal structure of CsCd2FeO4.

* final energy: -4.67 eV per atom
* calculated volume: 17.34 Å³/atom

extended XYZ file:
```
8
Lattice="-2.8622 2.8622 4.2345 2.8622 -2.8622 4.2345 2.8622 2.8622 -4.2345" Properties=species:S:1:pos:R:3 pbc="T T T"
Cs 0.0000 0.0000 0.0000
Cd 2.8622 0.0000 2.1172
Cd 0.0000 2.8622 2.1172
Fe 0.0000 0.0000 4.2345
O 1.8076 1.8076 -1.2047
O 1.0546 -1.0546 5.4392
O 1.0546 1.0546 3.0297
O -1.0546 1.0546 5.4392
```

---

(2)
VASP calculation (PBE+U) on an optimized crystal structure of SrNdMn2O5.

* final energy: -7.48 eV per atom
* calculated volume: 14.04 Å³/atom
* offset from the most stable computed form: 7.5 kJ/mol of formula units

extended XYZ file:
```
18
Lattice="3.9683 -8.0224 0.0000 3.9683 8.0224 0.0000 -3.8194 0.0000 3.9691" Properties=species:S:1:pos:R:3 pbc="T T T"
Sr 3.9683 5.8075 0.0000
Sr 3.9683 -5.8075 0.0000
Nd 0.0408 2.2848 3.7760
Nd 0.0408 -2.2848 3.7760
Mn 2.0112 4.0132 1.8894
Mn 2.0893 0.0000 2.2887
Mn 2.0112 -4.0132 1.8894
Mn 5.5830 0.0000 1.8697
O 2.3839 6.1362 2.1517
O 1.7971 1.9201 1.7481
O 2.0477 3.8373 3.8762
O 3.9971 3.7840 1.8742
O 1.7971 -1.9201 1.7481
O 4.5121 0.0000 0.0121
O 3.9448 0.0000 3.1246
O 2.3839 -6.1362 2.1517
O 2.0477 -3.8373 3.8762
O 3.9971 -3.7840 1.8742
```